(1)
# CuRe2Rh (PBE-GGA, relaxed)
data_CuRe2Rh
_chemical_formula_sum 'Cu1 Re2 Rh1'
_cell_length_a 2.754
_cell_length_b 2.754
_cell_length_c 7.449
_cell_angle_alpha 90.00
_cell_angle_beta 90.00
_cell_angle_gamma 90.00
_space_group_name_H-M_alt 'P 4 m m'
_space_group_IT_number 99
_space_group_name_Hall 'P 4 -2'
loop_
_atom_site_label
_atom_site_type_symbol
_atom_site_fract_x
_atom_site_fract_y
_atom_site_fract_z
Cu1 Cu 0.000 0.000 0.000
Re1 Re 0.000 0.000 0.507
Re2 Re 0.500 0.500 0.245
Rh1 Rh 0.500 0.500 0.756
# Volume = 14.1 Å³ per atom
# Energy relative to the elements = 104 meV per atom
# Excess energy over the best structure of this formula in the dataset = 14 meV/atom
# VASP energy = -8.98 eV per atom

---

(2)
# Cu2ReRh (PBE-GGA, relaxed)
data_Cu2ReRh
_chemical_formula_sum 'Cu4 Re2 Rh2'
_cell_length_a 2.756
_cell_length_b 4.487
_cell_length_c 8.884
_cell_angle_alpha 90.00
_cell_angle_beta 90.00
_cell_angle_gamma 90.00
_space_group_name_H-M_alt 'C m m m'
_space_group_IT_number 65
_space_group_name_Hall '-C 2 2'
loop_
_atom_site_label
_atom_site_type_symbol
_atom_site_fract_x
_atom_site_fract_y
_atom_site_fract_z
Cu1 Cu 0.000 0.000 0.248
Re1 Re 0.000 0.500 0.500
Rh1 Rh 0.000 0.500 0.000
# Volume = 13.7 Å³ per atom
# Energy relative to the elements = 274 meV per atom
# VASP energy = -6.72 eV per atom